[1]
16
Lattice="5.572 0.000 0.000 0.000 12.448 0.000 0.000 0.000 7.201" Properties=species:S:1:pos:R:3 comment="GGA-PBE Dy2HoTm, optimized geometry" formation_energy_mev_per_atom=2 dos_at_fermi_per_ev_atom=1.61 sg="Pmmn, No. 59" rho_g_cm3=8.76 pbc="T T T"
Dy 2.470 1.043 0.002
Dy 2.470 7.267 3.598
Dy 5.256 11.405 7.198
Dy 5.256 5.181 3.602
Dy 5.256 5.181 7.198
Dy 2.470 7.267 0.002
Dy 2.470 1.043 3.598
Dy 5.256 11.405 3.603
Ho 5.256 8.303 5.400
Ho 2.470 10.368 1.800
Ho 5.256 2.079 5.401
Ho 2.470 4.145 1.800
Tm 5.256 8.299 1.800
Tm 2.470 4.148 5.401
Tm 2.470 10.372 5.400
Tm 5.256 2.075 1.801

=====

[2]
11
Lattice="0.279 -5.469 2.034 7.413 -4.374 2.557 2.718 0.602 8.915" Properties=species:S:1:pos:R:3 comment="GGA-PBE DyHo8Tm2, optimized geometry" formation_energy_mev_per_atom=160 dos_at_fermi_per_ev_atom=1.33 sg="C2/m, No. 12" rho_g_cm3=8.75 pbc="T T T"
Dy 0.140 -2.735 1.017
Ho 1.620 -4.667 4.093
Ho 4.829 -5.449 9.219
Ho 3.381 -3.521 1.723
Ho 7.150 -5.972 6.685
Ho 3.261 -3.269 6.820
Ho 4.311 -6.322 2.867
Ho 5.582 -3.792 4.286
Ho 8.790 -4.573 9.412
Tm 3.332 -1.131 4.170
Tm 6.799 -2.641 7.301

=====

[3]
14
Lattice="5.567 0.000 0.000 0.000 9.464 -0.004 0.000 -4.730 8.198" Properties=species:S:1:pos:R:3 comment="GGA-PBE DyHo3Tm3, optimized geometry" formation_energy_mev_per_atom=4 dos_at_fermi_per_ev_atom=2.01 sg="P6_3/m, No. 176" rho_g_cm3=8.95 pbc="T T T"
Dy 4.176 0.001 5.465
Dy 1.392 4.733 2.728
Ho 4.176 3.378 6.630
Ho 4.176 -0.675 1.959
Ho 4.176 -2.698 7.805
Ho 1.392 1.356 1.564
Ho 1.392 5.410 6.235
Ho 1.392 7.433 0.388
Tm 1.392 2.029 5.069
Tm 1.392 -1.354 3.906
Tm 1.392 -0.671 7.418
Tm 4.176 2.705 3.125
Tm 4.176 6.089 4.288
Tm 4.176 5.406 0.776

=====

[4]
29
Lattice="9.529 0.000 5.501 3.176 8.984 5.501 0.000 0.000 11.003" Properties=species:S:1:pos:R:3 comment="GGA-PBE Dy16Ho6Tm7, optimized geometry" formation_energy_mev_per_atom=236 dos_at_fermi_per_ev_atom=1.75 sg="Fm-3m, No. 225" rho_g_cm3=8.41 pbc="T T T"
Dy 11.151 7.885 13.695
Dy 11.151 7.885 19.313
Dy 9.529 3.297 16.504
Dy 6.285 7.885 16.504
Dy 1.554 1.099 2.692
Dy 1.554 1.099 8.311
Dy 3.176 5.687 5.501
Dy 6.420 1.099 5.501
Dy 8.279 5.854 7.666
Dy 8.279 5.854 14.339
Dy 6.352 0.405 11.003
Dy 2.500 5.854 11.003
Dy 4.426 3.130 7.666
Dy 4.426 3.130 14.339
Dy 6.352 8.578 11.003
Dy 10.205 3.130 11.003
Ho 4.945 6.483 8.564
Ho 7.760 2.501 13.441
Ho 7.760 2.501 8.564
Ho 4.945 6.483 13.441
Ho 9.168 6.483 11.003
Ho 3.537 2.501 11.003
Tm 0.000 0.000 0.000
Tm 4.764 0.000 8.252
Tm 1.588 4.492 2.751
Tm 1.588 4.492 8.252
Tm 4.764 0.000 2.751
Tm 0.000 0.000 5.501
Tm 6.352 4.492 5.501

=====

[5]
20
Lattice="-4.345 0.754 -8.535 8.714 -3.872 -1.173 -5.243 -5.605 5.779" Properties=species:S:1:pos:R:3 comment="GGA-PBE Dy7HoTm12, optimized geometry" formation_energy_mev_per_atom=744 dos_at_fermi_per_ev_atom=1.18 sg="Im-3m, No. 229" rho_g_cm3=8.10 pbc="T T T"
Dy 2.184 -1.559 -4.854
Dy 1.735 -4.739 2.303
Dy -4.794 -2.426 -1.378
Dy -0.437 -4.362 -1.965
Dy -2.622 -2.803 2.889
Dy -2.173 0.377 -4.268
Dy 4.357 -1.936 -0.587
Ho 0.000 0.000 0.000
Tm 0.431 -6.735 -0.823
Tm 5.231 -4.307 0.557
Tm -1.306 -1.988 -3.107
Tm -6.106 -4.417 -4.487
Tm 4.143 -4.701 -6.137
Tm -2.830 -5.583 -2.653
Tm -5.017 -4.023 2.207
Tm 1.956 -3.140 -1.277
Tm 0.648 -5.148 -4.393
Tm -1.522 -3.575 0.463
Tm -1.090 -0.404 -6.699
Tm 0.215 -8.319 2.769

=====

[6]
14
Lattice="5.768 1.119 1.839 4.485 11.504 5.526 2.471 3.928 9.225" Properties=species:S:1:pos:R:3 comment="GGA-PBE Dy3Ho2Tm9, optimized geometry" formation_energy_mev_per_atom=114 dos_at_fermi_per_ev_atom=1.56 sg="P1, No. 1" rho_g_cm3=8.90 pbc="T T T"
Dy 3.084 4.431 8.823
Dy 5.548 5.160 5.972
Dy 7.009 11.267 10.797
Ho 6.271 6.693 8.816
Ho 6.084 9.826 7.680
Tm 9.070 8.812 9.223
Tm 10.551 14.571 14.318
Tm 2.423 1.759 2.422
Tm 7.887 12.455 13.768
Tm 4.827 4.136 2.890
Tm 9.901 13.200 11.020
Tm 2.747 3.323 5.553
Tm 4.310 8.934 10.538
Tm 8.354 7.495 6.156

=====

[7]
22
Lattice="5.642 0.000 0.000 -2.821 4.772 0.000 0.000 0.000 25.406" Properties=species:S:1:pos:R:3 comment="GGA-PBE Dy4Ho6Tm, optimized geometry" formation_energy_mev_per_atom=132 dos_at_fermi_per_ev_atom=1.76 sg="Cmcm, No. 63" rho_g_cm3=8.78 pbc="T T T"
Dy 2.821 3.270 13.793
Dy 0.000 4.511 3.087
Dy 0.000 1.502 11.614
Dy 2.821 0.260 22.320
Dy 2.821 3.270 24.317
Dy 0.000 1.502 1.090
Dy 2.821 0.260 15.790
Dy 0.000 4.511 9.616
Ho 2.821 0.000 0.000
Ho 2.821 0.000 12.703
Ho 0.000 1.371 8.075
Ho 2.821 3.401 17.332
Ho 2.821 3.401 20.778
Ho 0.000 1.371 4.628
Ho 2.821 2.968 10.030
Ho 0.000 1.804 15.377
Ho 0.000 1.804 22.733
Ho 2.821 2.968 2.674
Ho 0.000 4.563 6.352
Ho 2.821 0.209 19.055
Tm 2.821 2.983 6.352
Tm 0.000 1.788 19.055

=====

[8]
15
Lattice="-3.898 -4.989 1.107 0.796 -2.597 -8.899 5.972 -3.258 6.348" Properties=species:S:1:pos:R:3 comment="GGA-PBE DyHo6Tm8, optimized geometry" formation_energy_mev_per_atom=245 dos_at_fermi_per_ev_atom=1.48 sg="P-3, No. 147" rho_g_cm3=8.63 pbc="T T T"
Dy -1.949 -2.494 0.554
Ho -1.180 -5.027 -4.796
Ho 1.910 -7.192 -3.674
Ho -0.066 -5.059 -1.021
Ho 4.048 -5.816 3.352
Ho 0.959 -3.651 2.231
Ho 2.934 -5.784 -0.423
Tm -0.881 -8.066 -5.694
Tm 0.977 -8.455 -0.905
Tm -3.113 -5.468 -1.846
Tm 3.750 -2.777 4.250
Tm 1.892 -2.387 -0.539
Tm 5.982 -5.375 0.403
Tm 0.985 -7.211 2.192
Tm 1.884 -3.632 -3.636

=====

[9]
19
Lattice="9.090 0.000 0.000 -4.545 7.685 1.117 0.000 -1.376 8.264" Properties=species:S:1:pos:R:3 comment="GGA-PBE Dy2Ho5Tm12, optimized geometry" formation_energy_mev_per_atom=129 dos_at_fermi_per_ev_atom=1.49 sg="C2/m, No. 12" rho_g_cm3=8.92 pbc="T T T"
Dy 6.181 0.000 0.000
Dy 2.909 0.000 0.000
Ho 0.000 2.786 5.272
Ho 0.000 3.267 8.860
Ho 0.000 -0.688 4.132
Ho 4.545 3.041 0.520
Ho 4.545 3.523 4.108
Tm 4.545 6.126 1.873
Tm -2.896 4.263 7.015
Tm 2.896 4.263 7.015
Tm -1.750 5.262 3.651
Tm 1.750 5.262 3.651
Tm 0.000 5.894 6.509
Tm 4.545 0.414 2.872
Tm 6.294 1.047 5.730
Tm 2.795 1.047 5.730
Tm 7.441 2.046 2.365
Tm 1.649 2.046 2.365
Tm 0.000 0.183 7.508